Entry 1:
# Si3Se2

Crystalline Si3Se2 at its relaxed geometry (PBE, the Alexandria database).

Lattice parameters (Å, degrees): 4.7548 4.7548 5.5603 90.00 90.00 120.00
Space group P-3m1 (No. 164)
Symmetry-distinct sites (fractional):
Si  0.0000  0.0000  0.0000 x1
Si  0.3333  0.6667  0.2002 x2
Se  0.3333  0.6667  0.7665 x2

Summary:
Distance to the lowest polymorph of the same formula (eV per atom): 0.5639
DFT total energy (eV/atom): -4.132

---

Entry 2:
# Ac2InN3

Crystalline Ac2InN3 at its relaxed geometry (PBE, the Alexandria database).

Lattice parameters (Å, degrees): 7.873 3.739 14.801 90.00 90.00 90.00
Space group Pnma (No. 62)
Symmetry-distinct sites (fractional):
Ac  0.106  0.250  0.222 x4
Ac  0.194  0.250  0.944 x4
In  0.100  0.250  0.612 x4
N  0.059  0.250  0.401 x4
N  0.134  0.750  0.067 x4
N  0.156  0.250  0.765 x4

Summary:
DFT total energy (eV/atom): -6.712

---

Entry 3:
# Be2Se

Crystalline Be2Se at its relaxed geometry (PBE, the Alexandria database).

Lattice parameters (Å, degrees): 7.796 3.510 7.391 90.00 101.62 90.00
Space group C2/m (No. 12)
Symmetry-distinct sites (fractional):
Be  0.009  0.000  0.141 x4
Be  0.131  0.500  0.027 x4
Se  0.201  0.500  0.751 x4

Summary:
Distance to the lowest polymorph of the same formula (eV per atom): 0.3102
DFT total energy (eV/atom): -3.625

---

Question: Which of these has the lowest DFT total energy?
Answer: Ac2InN3

---

Question: Which value of DFT total energy does entry 2 give?
Answer: -6.712 eV/atom